Pr5SnBi4 after structural relaxation, computed with PBE.

## Properties
Total moment, μB/atom: 0.000
Energy of formation, eV per atom: -0.88

a = 6.541 Å, b = 8.010 Å, c = 8.010 Å
α = 80.40°, β = 65.90°, γ = 65.90°
Element x y z (fractional)
Pr 0.901 0.398 0.802
Pr 0.299 0.802 0.602
Pr 0.703 0.198 0.398
Pr 0.101 0.602 0.198
Pr 0.501 0.000 0.000
Sn 0.001 0.000 0.000
Bi 0.403 0.399 0.798
Bi 0.802 0.798 0.601
Bi 0.200 0.202 0.399
Bi 0.599 0.601 0.202



KNiTe2 after structural relaxation, computed with PBE.

## Properties
Raw formation energy, eV/atom: -0.20
Total moment, μB/atom: 0.000

a = 8.800 Å, b = 8.800 Å, c = 8.800 Å
α = 158.33°, β = 154.21°, γ = 33.93°
Element x y z (fractional)
K 0.559 0.559 0.000
Ni 0.795 0.295 0.500
Te 0.915 0.915 0.000
Te 0.231 0.731 0.500